Record 1
DFT (PBE) results for crystalline Li2CdRh at its relaxed geometry.

Cell and atoms, written as extended XYZ:
```
4
Lattice="-2.873 3.756 0.242 -0.840 0.800 4.591 4.097 -0.572 -2.303" Properties=species:S:1:pos:R:3 pbc="T T T"
Li 0.000 0.000 0.000
Li -1.856 2.278 2.416
Rh 0.700 1.253 2.352
Cd -0.316 2.731 0.177
```

Results
N(E_F): 1.64 states/eV per cell
Spin magnetization: 0.00 μB per formula unit
Formation enthalpy at 0 K: -213 meV/atom

***

Record 2
DFT (PBE) results for crystalline Li12CdRh2 at its relaxed geometry.

Cell and atoms, written as extended XYZ:
```
30
Lattice="4.996 -1.352 0.000 -1.352 4.996 0.000 0.000 0.000 22.457" Properties=species:S:1:pos:R:3 pbc="T T T"
Li 1.822 1.822 17.821
Li 0.000 0.000 17.821
Li 3.150 2.314 21.016
Li 0.266 3.440 19.005
Li 0.000 0.000 6.998
Li 0.203 3.377 3.453
Li 3.453 0.279 14.267
Li 1.822 1.822 6.998
Li 0.493 1.329 21.016
Li 2.314 3.150 1.441
Li 1.429 0.392 12.345
Li 3.364 0.190 8.190
Li 0.000 0.000 15.459
Li 0.392 1.429 10.112
Li 1.329 0.493 1.441
Li 3.251 2.214 10.112
Li 2.214 3.251 12.345
Li 0.000 0.000 4.637
Li 0.190 3.364 14.267
Li 1.822 1.822 15.459
Li 3.377 0.203 19.005
Li 1.822 1.822 4.637
Li 0.279 3.453 8.190
Li 3.440 0.266 3.453
Cd 2.498 -0.676 21.553
Cd -0.676 2.498 0.904
Rh 2.498 -0.676 5.820
Rh -0.676 2.498 5.852
Rh -0.676 2.498 16.637
Rh 2.498 -0.676 16.605
```

Results
N(E_F): 14.21 states/eV per cell
Spin magnetization: 0.24 μB per formula unit
Formation enthalpy at 0 K: -40 meV/atom

***

Record 3
DFT (PBE) results for crystalline Li2CdRh at its relaxed geometry.

Cell and atoms, written as extended XYZ:
```
4
Lattice="2.830 0.000 0.000 0.000 4.096 0.000 0.000 0.000 5.503" Properties=species:S:1:pos:R:3 pbc="T T T"
Li 0.000 0.000 0.019
Li 1.415 2.048 1.464
Rh 0.000 0.000 2.699
Cd 1.415 2.048 4.072
```

Results
N(E_F): 2.66 states/eV per cell
Spin magnetization: 0.26 μB per formula unit
Formation enthalpy at 0 K: -137 meV/atom